No. 1
Entry from Alexandria via LeMat-Bulk: a relaxed HgMoPS2 crystal (GGA-PBE).

polymorph energy (0 for the lowest one)	0.0000	eV/atom
crystal system	tetragonal
formation energy (no corrections)	19	kJ/mol of atoms
total magnetic moment	0.00	μB/f.u.

Cell lengths 4.647, 4.647, 4.960 Å; angles 90.00, 90.00, 90.00 degrees
Space group P4/mmm (No. 123)
Unique sites:
Hg: 0.000 0.000 0.000 (multiplicity 1)
Mo: 0.500 0.500 0.500 (multiplicity 1)
P: 0.500 0.500 0.000 (multiplicity 1)
S: 0.000 0.500 0.500 (multiplicity 2)

---

No. 2
Entry from Alexandria via LeMat-Bulk: a relaxed AlAg2Au6 crystal (GGA-PBE).

formation energy from the elements	-0.0543	eV/atom
polymorph energy (0 for the lowest one)	0.0551	eV/atom
crystal system	orthorhombic
total magnetic moment	0.00	μB/f.u.

Cell lengths 4.088, 7.916, 11.335 Å; angles 90.00, 90.00, 90.00 degrees
Space group Immm (No. 71)
Unique sites:
Al: 0.000 0.000 0.000 (multiplicity 2)
Ag: 0.000 0.000 0.364 (multiplicity 4)
Au: 0.000 0.234 0.168 (multiplicity 8)
Au: 0.000 0.302 0.500 (multiplicity 4)

---

No. 3
Entry from Alexandria via LeMat-Bulk: a relaxed Er3Sc2Hg2 crystal (GGA-PBE).

formation energy from the elements	-0.2018	eV/atom
polymorph energy (0 for the lowest one)	0.0000	eV/atom
crystal system	trigonal
total magnetic moment	0.00	μB/f.u.

Cell lengths 5.1789, 5.1789, 22.9152 Å; angles 90.00, 90.00, 120.00 degrees
Space group R-3m (No. 166, hexagonal axes)
Unique sites:
Er: 0.0000 0.0000 0.0000 (multiplicity 3)
Er: 0.0000 0.0000 0.1565 (multiplicity 6)
Sc: 0.0000 0.0000 0.4275 (multiplicity 6)
Hg: 0.0000 0.0000 0.2873 (multiplicity 6)

---

No. 4
Entry from Alexandria via LeMat-Bulk: a relaxed KCuTcI6 crystal (GGA-PBE).

crystal system	trigonal
formation energy (no corrections)	-34	kJ/mol of atoms
total magnetic moment	3.12	μB/f.u.

Cell lengths 7.3022, 7.3022, 7.8620 Å; angles 90.00, 90.00, 120.00 degrees
Space group P312 (No. 149)
Unique sites:
K: 0.0000 0.0000 0.0000 (multiplicity 1)
Cu: 0.6667 0.3333 0.5000 (multiplicity 1)
Tc: 0.3333 0.6667 0.5000 (multiplicity 1)
I: 0.0097 0.3752 0.6997 (multiplicity 6)

---

No. 5
Entry from Alexandria via LeMat-Bulk: a relaxed Sr3TlI crystal (GGA-PBE).

polymorph energy (0 for the lowest one)	0.0000	eV/atom
crystal system	cubic
formation energy (no corrections)	-39	kJ/mol of atoms
total magnetic moment	0.00	μB/f.u.

Cell lengths 6.398, 6.398, 6.398 Å; angles 90.00, 90.00, 90.00 degrees
Space group Pm-3m (No. 221)
Unique sites:
Sr: 0.000 0.000 0.500 (multiplicity 3)
Tl: 0.000 0.000 0.000 (multiplicity 1)
I: 0.500 0.500 0.500 (multiplicity 1)

---

No. 6
Entry from Alexandria via LeMat-Bulk: a relaxed Tl2ZnAu crystal (GGA-PBE).

formation energy from the elements	0.1423	eV/atom
polymorph energy (0 for the lowest one)	0.1550	eV/atom
crystal system	cubic
total magnetic moment	0.00	μB/f.u.

Cell lengths 7.236, 7.236, 7.236 Å; angles 90.00, 90.00, 90.00 degrees
Space group F-43m (No. 216)
Unique sites:
Tl: 0.000 0.000 0.000 (multiplicity 4)
Tl: 0.250 0.250 0.250 (multiplicity 4)
Zn: 0.000 0.000 0.500 (multiplicity 4)
Au: 0.250 0.250 0.750 (multiplicity 4)

---

No. 7
Entry from Alexandria via LeMat-Bulk: a relaxed ZrZn3Cl crystal (GGA-PBE).

polymorph energy (0 for the lowest one)	0.0282	eV/atom
crystal system	cubic
formation energy (no corrections)	70	kJ/mol of atoms
total magnetic moment	0.00	μB/f.u.

Cell lengths 5.477, 5.477, 5.477 Å; angles 90.00, 90.00, 90.00 degrees
Space group Pm-3m (No. 221)
Unique sites:
Zr: 0.000 0.000 0.000 (multiplicity 1)
Zn: 0.000 0.000 0.500 (multiplicity 3)
Cl: 0.500 0.500 0.500 (multiplicity 1)

---

No. 8
Entry from Alexandria via LeMat-Bulk: a relaxed Tc2AsBr crystal (GGA-PBE).

polymorph energy (0 for the lowest one)	0.1001	eV/atom
crystal system	trigonal
formation energy (no corrections)	21	kJ/mol of atoms
total magnetic moment	0.00	μB/f.u.

Cell lengths 3.0040, 3.0040, 30.0897 Å; angles 90.00, 90.00, 120.00 degrees
Space group R3m (No. 160, hexagonal axes)
Unique sites:
Tc: 0.0000 0.0000 0.0000 (multiplicity 3)
Tc: 0.0000 0.0000 0.2631 (multiplicity 3)
As: 0.0000 0.0000 0.7295 (multiplicity 3)
Br: 0.0000 0.0000 0.5309 (multiplicity 3)